Entry from Alexandria via LeMat-Bulk: an optimized crystal structure of TmZr2Nb (PBE).

Values from the calculation:
Total energy   -7.709 eV per atom
Energy of formation   200.0 meV/atom
Energy above the lowest structure with this stoichiometry   115 meV per atom

abc: 4.5582 4.5582 4.4136
angles: 90.00 90.00 90.00
Space group P4/mmm (No. 123)
Inequivalent atoms, fractional coordinates:
Tm 0.0000 0.0000 0.0000
Zr 0.0000 0.5000 0.5000
Nb 0.5000 0.5000 0.0000

=====

Entry from Alexandria via LeMat-Bulk: an optimized crystal structure of Mg2BeNi (PBE).

Values from the calculation:
Total energy   -2.734 eV per atom
Energy of formation   440.0 meV/atom

abc: 6.9263 6.9263 5.1898
angles: 90.00 90.00 90.00
Space group I-42d (No. 122)
Inequivalent atoms, fractional coordinates:
Mg 0.2454 0.2500 0.1250
Be 0.0000 0.0000 0.5000
Ni 0.0000 0.0000 0.0000

=====

Entry from Alexandria via LeMat-Bulk: an optimized crystal structure of Zr5Cr (PBE).

Values from the calculation:
Total energy   -8.223 eV per atom
Energy of formation   504.5 meV/atom

abc: 8.2082 8.2082 8.2082
angles: 90.00 90.00 90.00
Space group F-43m (No. 216)
Inequivalent atoms, fractional coordinates:
Zr 0.0000 0.0000 0.0000
Zr 0.1260 0.1260 0.6260
Cr 0.2500 0.2500 0.2500

=====

Entry from Alexandria via LeMat-Bulk: an optimized crystal structure of Sc2In3Ni (PBE).

Values from the calculation:
Total energy   -4.760 eV per atom
Energy of formation   -316.9 meV/atom

abc: 3.3481 4.7025 8.0736
angles: 90.00 90.00 90.00
Space group Pmm2 (No. 25)
Inequivalent atoms, fractional coordinates:
Sc 0.0000 0.0000 0.0000
Sc 0.0000 0.5000 0.4463
In 0.5000 0.0000 0.5962
In 0.5000 0.5000 0.1441
In 0.5000 0.5000 0.7936
Ni 0.5000 0.0000 0.2749

=====

Entry from Alexandria via LeMat-Bulk: an optimized crystal structure of InW2Se (PBE).

Values from the calculation:
Total energy   -7.731 eV per atom
Formation energy (no corrections)   116 kJ/mol of formula units
Energy above the lowest structure with this stoichiometry   0 meV per atom

abc: 3.2754 3.2754 25.2039
angles: 90.00 90.00 120.00
Space group R3m (No. 160, hexagonal axes)
Inequivalent atoms, fractional coordinates:
In 0.0000 0.0000 0.0000
W 0.0000 0.0000 0.2422
W 0.0000 0.0000 0.5050
Se 0.0000 0.0000 0.7647

=====

Entry from Alexandria via LeMat-Bulk: an optimized crystal structure of MoIr2Rh (PBE).

Values from the calculation:
Total energy   -9.203 eV per atom
Energy of formation   -227.1 meV/atom
Energy above the lowest structure with this stoichiometry   18 meV per atom

abc: 3.9026 3.9026 7.7060
angles: 90.00 90.00 90.00
Space group I4/mmm (No. 139)
Inequivalent atoms, fractional coordinates:
Mo 0.0000 0.0000 0.0000
Ir 0.0000 0.5000 0.2500
Rh 0.0000 0.0000 0.5000